Material: ZnCdW2O8
Method: DFT, PBE+U
State: optimized geometry

The structure belongs to space group I-4m2 (No. 119); the cell edges are 6.962, 6.962 and 7.163 Å and the angles 90.00°, 90.00° and 90.00°. The distinct sites, in fractional coordinates, are Zn at (0.000, 0.000, 0.000), Cd at (0.000, 0.500, 0.750), W at (0.000, 0.000, 0.500), W at (0.000, 0.500, 0.250), O at (0.000, 0.206, 0.652) and O at (0.000, 0.286, 0.102).

As for the magnetic moment: 0.0 μB/f.u. The calculation puts the raw total energy at -6.2840 eV per atom.